Crystalline Rb2Cd2Se2S at its relaxed geometry, computed with PBE-GGA.

Geometry as POSCAR:
```
Rb2Cd2Se2S
1.0
-2.246 3.632 -1.140
-5.589 0.951 5.477
1.348 3.244 7.684
Rb Cd Se S
2 2 2 1
Direct
0.562 0.877 0.795
0.438 0.123 0.205
0.808 0.384 0.693
0.192 0.616 0.307
0.814 0.373 0.368
0.186 0.627 0.632
0.000 0.000 0.000
```

Values from the calculation:
Raw formation energy in meV/atom: -891
Size of the total moment in μB/atom: 0.000